A relaxed structure of FeGe2SbO. Source: Alexandria, functional PBE+U.

Properties
space-group type: P4/mmm
crystal system: tetragonal
total energy: -4.7220 eV/atom
theoretical density: 5.82 g cm⁻³
density of states at the Fermi level: 3.0 states/eV per cell

Cell: 5.1990 5.1990 3.5763 Å, 90.00 90.00 90.00°
Closest atoms and distances in Å follow each position.
Element x y z (fractional)
Sb 0.5000 0.5000 0.5000  8 Ge 3.16
Ge 0.0000 0.5000 0.0000  2 Fe 2.60
Ge 0.5000 0.0000 0.0000  2 Fe 2.60
Fe 0.0000 0.0000 0.0000  2 O 1.79
O 0.0000 0.0000 0.5000  2 Fe 1.79